Entry 1:
Entry from Alexandria via LeMat-Bulk: an optimized crystal structure of ZrSi3 (PBE-GGA).

Cell lengths 3.419, 4.514, 8.384 Å; angles 90.00, 90.00, 90.00 degrees
Atoms (fractional coordinates):
Zr: 0.000 0.000 0.000
Zr: 0.500 0.500 0.500
Si: 0.000 0.000 0.500
Si: 0.000 0.500 0.233
Si: 0.000 0.500 0.767
Si: 0.500 0.000 0.267
Si: 0.500 0.000 0.733
Si: 0.500 0.500 0.000

Values from the calculation:
The total magnetic moment is 0.0 μB/cell. As for the volume: 16.18 Å³/atom. The value obtained for the formation energy (no corrections) is -0.172 eV per atom.


Entry 2:
Entry from Alexandria via LeMat-Bulk: an optimized crystal structure of NdMgSiHg (PBE-GGA).

Cell lengths 7.170, 7.170, 7.170 Å; angles 90.00, 90.00, 90.00 degrees
Atoms (fractional coordinates):
Nd: 0.000 0.000 0.000
Nd: 0.000 0.500 0.500
Nd: 0.500 0.000 0.500
Nd: 0.500 0.500 0.000
Mg: 0.000 0.000 0.500
Mg: 0.000 0.500 0.000
Mg: 0.500 0.000 0.000
Mg: 0.500 0.500 0.500
Si: 0.250 0.250 0.250
Si: 0.250 0.750 0.750
Si: 0.750 0.250 0.750
Si: 0.750 0.750 0.250
Hg: 0.250 0.250 0.750
Hg: 0.250 0.750 0.250
Hg: 0.750 0.250 0.250
Hg: 0.750 0.750 0.750

Values from the calculation:
The total magnetic moment is 0.0 μB/cell. As for the volume: 23.04 Å³/atom. The value obtained for the formation energy (no corrections) is -0.284 eV per atom.


Entry 3:
Entry from Alexandria via LeMat-Bulk: an optimized crystal structure of Co5NiH6 (PBE-GGA).

Cell lengths 4.546, 4.546, 4.539 Å; angles 99.54, 99.54, 120.08 degrees
Atoms (fractional coordinates):
Co: 0.000 0.000 0.000
Co: 0.167 0.833 0.500
Co: 0.333 0.667 0.000
Co: 0.667 0.333 0.000
Co: 0.833 0.167 0.500
Ni: 0.500 0.500 0.500
H: 0.076 0.414 0.244
H: 0.247 0.247 0.758
H: 0.414 0.076 0.244
H: 0.586 0.924 0.756
H: 0.753 0.753 0.242
H: 0.924 0.586 0.756

Values from the calculation:
The total magnetic moment is 6.3 μB/cell. As for the volume: 6.38 Å³/atom. The calculation puts the electronic total energy at -5.111 eV/atom.


Entry 4:
Entry from Alexandria via LeMat-Bulk: an optimized crystal structure of Sm2Ge3AsIr4 (PBE-GGA).

Cell lengths 4.284, 4.284, 10.075 Å; angles 90.00, 90.00, 90.00 degrees
Atoms (fractional coordinates):
Sm: 0.000 0.500 0.244
Sm: 0.500 0.000 0.756
Ge: 0.000 0.000 0.000
Ge: 0.000 0.500 0.632
Ge: 0.500 0.000 0.368
As: 0.500 0.500 0.000
Ir: 0.000 0.000 0.500
Ir: 0.000 0.500 0.875
Ir: 0.500 0.000 0.125
Ir: 0.500 0.500 0.500

Values from the calculation:
The total magnetic moment is 0.0 μB/cell. As for the volume: 18.49 Å³/atom. The calculation puts the electronic total energy at -7.108 eV/atom.


Entry 5:
Entry from Alexandria via LeMat-Bulk: an optimized crystal structure of Dy2ThScBi4 (PBE-GGA).

Cell lengths 7.711, 4.477, 7.745 Å; angles 90.00, 109.51, 90.00 degrees
Atoms (fractional coordinates):
Dy: 0.000 0.000 0.000
Dy: 0.500 0.500 0.000
Th: 0.000 0.500 0.500
Sc: 0.500 0.000 0.500
Bi: 0.262 0.000 0.752
Bi: 0.262 0.500 0.256
Bi: 0.738 0.000 0.248
Bi: 0.738 0.500 0.744

Values from the calculation:
The total magnetic moment is 0.0 μB/cell. As for the volume: 31.50 Å³/atom. The calculation puts the electronic total energy at -5.537 eV/atom.


Entry 6:
Entry from Alexandria via LeMat-Bulk: an optimized crystal structure of CaNd5Tm (PBE-GGA).

Cell lengths 6.692, 6.692, 11.739 Å; angles 101.96, 101.96, 97.37 degrees
Atoms (fractional coordinates):
Ca: 0.247 0.753 0.750
Ca: 0.753 0.247 0.250
Nd: 0.082 0.266 0.537
Nd: 0.105 0.895 0.250
Nd: 0.266 0.082 0.037
Nd: 0.316 0.449 0.339
Nd: 0.449 0.316 0.839
Nd: 0.551 0.684 0.161
Nd: 0.684 0.551 0.661
Nd: 0.734 0.918 0.963
Nd: 0.895 0.105 0.750
Nd: 0.918 0.734 0.463
Tm: 0.000 0.500 0.000
Tm: 0.500 0.000 0.500

Values from the calculation:
The total magnetic moment is 0.0 μB/cell. As for the volume: 35.35 Å³/atom. The calculation puts the electronic total energy at -4.201 eV/atom.